# 1
# Cs2KSnI5 GGA-PBE optimized geometry
# total magnetization = 0.0 μB/cell
# formation energy from raw total energies = -1.17 eV/atom
data_Cs2KSnI5
_chemical_formula_sum 'Cs8 K4 Sn4 I20'
_cell_length_a 5.4415
_cell_length_b 21.5555
_cell_length_c 15.8476
_cell_angle_alpha 90.00
_cell_angle_beta 90.00
_cell_angle_gamma 90.00
_space_group_name_H-M_alt 'C m c 21'
_space_group_IT_number 36
_space_group_name_Hall 'C 2c -2'
loop_
_atom_site_label
_atom_site_type_symbol
_atom_site_fract_x
_atom_site_fract_y
_atom_site_fract_z
Cs1 Cs 0.0000 0.1095 0.0000
Cs2 Cs 0.0000 0.1470 0.6202
K1 K 0.0000 0.2126 0.3311
Sn1 Sn 0.0000 0.4719 0.7601
I1 I 0.0000 0.0475 0.3584
I2 I 0.0000 0.2833 0.9746
I3 I 0.0000 0.3336 0.6886
I4 I 0.0000 0.3802 0.3097
I5 I 0.0000 0.4862 0.0776


# 2
# Cs3K3SnI8 GGA-PBE optimized geometry
# total magnetization = 0.0 μB/cell
# formation energy from raw total energies = -1.32 eV/atom
data_Cs3K3SnI8
_chemical_formula_sum 'Cs9 K9 Sn3 I24'
_cell_length_a 10.3298
_cell_length_b 10.3298
_cell_length_c 26.6612
_cell_angle_alpha 90.00
_cell_angle_beta 90.00
_cell_angle_gamma 120.00
_space_group_name_H-M_alt 'R -3 m'
_space_group_IT_number 166
_space_group_name_Hall '-R 3 2"'
loop_
_atom_site_label
_atom_site_type_symbol
_atom_site_fract_x
_atom_site_fract_y
_atom_site_fract_z
Cs1 Cs 0.0000 0.5000 0.0000
K1 K 0.0000 0.5000 0.5000
Sn1 Sn 0.0000 0.0000 0.5000
I1 I 0.0000 0.0000 0.2415
I2 I 0.0319 0.5159 0.2350


# 3
# CsKSnI6 GGA-PBE optimized geometry
# total magnetization = 0.0 μB/cell
# formation energy from raw total energies = -0.82 eV/atom
data_CsKSnI6
_chemical_formula_sum 'Cs1 K1 Sn1 I6'
_cell_length_a 8.6218
_cell_length_b 8.6218
_cell_length_c 7.9470
_cell_angle_alpha 90.00
_cell_angle_beta 90.00
_cell_angle_gamma 120.00
_space_group_name_H-M_alt 'P 3 1 2'
_space_group_IT_number 149
_space_group_name_Hall 'P 3 2'
loop_
_atom_site_label
_atom_site_type_symbol
_atom_site_fract_x
_atom_site_fract_y
_atom_site_fract_z
Cs1 Cs 0.0000 0.0000 0.0000
K1 K 0.3333 0.6667 0.5000
Sn1 Sn 0.6667 0.3333 0.5000
I1 I 0.3969 0.0546 0.7142


# 4
# Cs3K3SrI8 GGA-PBE optimized geometry
# total magnetization = 0.0 μB/cell
# formation energy from raw total energies = -1.56 eV/atom
data_Cs3K3SrI8
_chemical_formula_sum 'Cs9 K9 Sr3 I24'
_cell_length_a 10.3433
_cell_length_b 10.3433
_cell_length_c 26.8297
_cell_angle_alpha 90.00
_cell_angle_beta 90.00
_cell_angle_gamma 120.00
_space_group_name_H-M_alt 'R -3 m'
_space_group_IT_number 166
_space_group_name_Hall '-R 3 2"'
loop_
_atom_site_label
_atom_site_type_symbol
_atom_site_fract_x
_atom_site_fract_y
_atom_site_fract_z
Cs1 Cs 0.0000 0.5000 0.0000
K1 K 0.0000 0.5000 0.5000
Sr1 Sr 0.0000 0.0000 0.5000
I1 I 0.0000 0.0000 0.2416
I2 I 0.0258 0.5129 0.2364


# 5
# CsK2SrI5 GGA-PBE optimized geometry
# total magnetization = 0.0 μB/cell
# formation energy from raw total energies = -1.53 eV/atom
data_CsK2SrI5
_chemical_formula_sum 'Cs2 K4 Sr2 I10'
_cell_length_a 6.2584
_cell_length_b 8.8480
_cell_length_c 17.3444
_cell_angle_alpha 90.00
_cell_angle_beta 90.00
_cell_angle_gamma 90.00
_space_group_name_H-M_alt 'I m m m'
_space_group_IT_number 71
_space_group_name_Hall '-I 2 2'
loop_
_atom_site_label
_atom_site_type_symbol
_atom_site_fract_x
_atom_site_fract_y
_atom_site_fract_z
Cs1 Cs 0.0000 0.0000 0.0000
K1 K 0.0000 0.5000 0.2054
Sr1 Sr 0.0000 0.0000 0.5000
I1 I 0.0000 0.2511 0.3624
I2 I 0.0000 0.5000 0.0000


# 6
# CsKSrI4 GGA-PBE optimized geometry
# total magnetization = 0.0 μB/cell
# formation energy from raw total energies = -1.55 eV/atom
data_CsKSrI4
_chemical_formula_sum 'Cs2 K2 Sr2 I8'
_cell_length_a 6.4210
_cell_length_b 6.4210
_cell_length_c 18.8673
_cell_angle_alpha 90.00
_cell_angle_beta 90.00
_cell_angle_gamma 90.00
_space_group_name_H-M_alt 'I 4 m m'
_space_group_IT_number 107
_space_group_name_Hall 'I 4 -2'
loop_
_atom_site_label
_atom_site_type_symbol
_atom_site_fract_x
_atom_site_fract_y
_atom_site_fract_z
Cs1 Cs 0.0000 0.0000 0.0000
K1 K 0.0000 0.0000 0.7234
Sr1 Sr 0.0000 0.0000 0.3652
I1 I 0.0000 0.0000 0.1948
I2 I 0.0000 0.0000 0.5381
I3 I 0.0000 0.5000 0.3587


# 7
# CsK2TaI8 GGA-PBE optimized geometry
# total magnetization = 0.0 μB/cell
# formation energy from raw total energies = -0.91 eV/atom
data_CsK2TaI8
_chemical_formula_sum 'Cs1 K2 Ta1 I8'
_cell_length_a 6.9907
_cell_length_b 8.5521
_cell_length_c 10.9190
_cell_angle_alpha 89.97
_cell_angle_beta 89.99
_cell_angle_gamma 69.39
_space_group_name_H-M_alt 'P -1'
_space_group_IT_number 2
_space_group_name_Hall '-P 1'
loop_
_atom_site_label
_atom_site_type_symbol
_atom_site_fract_x
_atom_site_fract_y
_atom_site_fract_z
Cs1 Cs 0.0000 0.0000 0.0000
K1 K 0.0009 0.4996 0.2225
Ta1 Ta 0.0000 0.0000 0.5000
I1 I 0.2033 0.2268 0.5003
I2 I 0.2645 0.8154 0.3207
I3 I 0.2644 0.8146 0.6792
I4 I 0.3244 0.2838 0.9996


# 8
# Cs2KTbI6 GGA-PBE optimized geometry
# total magnetization = 0.0 μB/cell
# formation energy from raw total energies = -1.49 eV/atom
data_Cs2KTbI6
_chemical_formula_sum 'Cs4 K2 Tb2 I12'
_cell_length_a 8.7800
_cell_length_b 12.8808
_cell_length_c 9.6241
_cell_angle_alpha 90.00
_cell_angle_beta 90.00
_cell_angle_gamma 90.00
_space_group_name_H-M_alt 'P m m n'
_space_group_IT_number 59
loop_
_space_group_symop_operation_xyz
'x,y,z'
'-x,-y,-z'
'-x+1/2,-y+1/2,z'
'x+1/2,y+1/2,-z'
'x+1/2,-y,-z'
'-x+1/2,y,z'
'-x,y+1/2,-z'
'x,-y+1/2,z'
loop_
_atom_site_label
_atom_site_type_symbol
_atom_site_fract_x
_atom_site_fract_y
_atom_site_fract_z
Cs1 Cs 0.2500 0.0357 0.1954
K1 K 0.2500 0.2500 0.7097
Tb1 Tb 0.2500 0.7500 0.7840
I1 I 0.0021 0.2500 0.4303
I2 I 0.0111 0.7500 0.0156
I3 I 0.2500 0.5136 0.7861


# 9
# CsK2TbI6 GGA-PBE optimized geometry
# total magnetization = 0.0 μB/cell
# formation energy from raw total energies = -1.46 eV/atom
data_CsK2TbI6
_chemical_formula_sum 'Cs3 K6 Tb3 I18'
_cell_length_a 8.8477
_cell_length_b 8.8477
_cell_length_c 23.4906
_cell_angle_alpha 90.00
_cell_angle_beta 90.00
_cell_angle_gamma 120.00
_space_group_name_H-M_alt 'R 3'
_space_group_IT_number 146
_space_group_name_Hall 'R 3'
loop_
_atom_site_label
_atom_site_type_symbol
_atom_site_fract_x
_atom_site_fract_y
_atom_site_fract_z
Cs1 Cs 0.0000 0.0000 0.0000
K1 K 0.0000 0.0000 0.2881
K2 K 0.0000 0.0000 0.8037
Tb1 Tb 0.0000 0.0000 0.4856
I1 I 0.0181 0.2990 0.5569
I2 I 0.0196 0.7374 0.4046


# 10
# CsKTcI6 GGA-PBE optimized geometry
# total magnetization = 3.2 μB/cell
# formation energy from raw total energies = -0.69 eV/atom
data_CsKTcI6
_chemical_formula_sum 'Cs1 K1 Tc1 I6'
_cell_length_a 8.5216
_cell_length_b 8.5216
_cell_length_c 7.7033
_cell_angle_alpha 90.00
_cell_angle_beta 90.00
_cell_angle_gamma 120.00
_space_group_name_H-M_alt 'P 3 1 2'
_space_group_IT_number 149
_space_group_name_Hall 'P 3 2'
loop_
_atom_site_label
_atom_site_type_symbol
_atom_site_fract_x
_atom_site_fract_y
_atom_site_fract_z
Cs1 Cs 0.0000 0.0000 0.0000
K1 K 0.3333 0.6667 0.5000
Tc1 Tc 0.6667 0.3333 0.5000
I1 I 0.4078 0.0673 0.7092


# 11
# Cs2KTeI6 GGA-PBE optimized geometry
# total magnetization = 0.0 μB/cell
# formation energy from raw total energies = -0.88 eV/atom
data_Cs2KTeI6
_chemical_formula_sum 'Cs12 K6 Te6 I36'
_cell_length_a 8.5639
_cell_length_b 8.5639
_cell_length_c 50.9815
_cell_angle_alpha 90.00
_cell_angle_beta 90.00
_cell_angle_gamma 120.00
_space_group_name_H-M_alt 'R -3 m'
_space_group_IT_number 166
_space_group_name_Hall '-R 3 2"'
loop_
_atom_site_label
_atom_site_type_symbol
_atom_site_fract_x
_atom_site_fract_y
_atom_site_fract_z
Cs1 Cs 0.0000 0.0000 0.1381
Cs2 Cs 0.0000 0.0000 0.3056
K1 K 0.0000 0.0000 0.4193
Te1 Te 0.0000 0.0000 0.0000
Te2 Te 0.0000 0.0000 0.5000
I1 I 0.0109 0.5055 0.2994
I2 I 0.0164 0.5082 0.8676


# 12
# CsKTeI6 GGA-PBE optimized geometry
# total magnetization = 0.0 μB/cell
# formation energy from raw total energies = -0.72 eV/atom
data_CsKTeI6
_chemical_formula_sum 'Cs1 K1 Te1 I6'
_cell_length_a 8.6798
_cell_length_b 8.6798
_cell_length_c 7.9924
_cell_angle_alpha 90.00
_cell_angle_beta 90.00
_cell_angle_gamma 120.00
_space_group_name_H-M_alt 'P 3 1 2'
_space_group_IT_number 149
_space_group_name_Hall 'P 3 2'
loop_
_atom_site_label
_atom_site_type_symbol
_atom_site_fract_x
_atom_site_fract_y
_atom_site_fract_z
Cs1 Cs 0.0000 0.0000 0.0000
K1 K 0.6667 0.3333 0.5000
Te1 Te 0.3333 0.6667 0.5000
I1 I 0.0492 0.3939 0.2820


- What is the total magnetization in the third record?
  0.0 μB/cell